No. 1
Below is an optimized crystal structure of BaVC3, with properties calculated at the PBE level.

Computed properties:
- DOS at the Fermi energy (states/eV/f.u.) = 7.8
- V (Å³/f.u.) = 97.6
- magnetization (μB/atom) = 0.641
- space group = Pm-3m (221)
- ΔH_f (0 K) (eV/f.u.) = 18.7
- polymorph energy (0 for the lowest one) (meV per atom) = 2685.8

```
5
Lattice="4.604 0.000 0.000 0.000 4.604 0.000 0.000 0.000 4.604" Properties=species:S:1:pos:R:3 pbc="T T T"
Ba 0.000 0.000 0.000
C 0.000 0.000 2.302
C 2.302 0.000 0.000
C 0.000 2.302 0.000
V 2.302 2.302 2.302
```

---

No. 2
Below is an optimized crystal structure of BaWC2, with properties calculated at the PBE level.

Computed properties:
- DOS at the Fermi energy (states/eV/f.u.) = 0.0
- V (Å³/f.u.) = 78.3
- magnetization (μB/atom) = 0.000
- space group = I-42d (122)
- ΔH_f (0 K) (eV/f.u.) = 0.9

```
8
Lattice="6.021 0.000 0.000 0.000 6.021 0.000 3.010 3.010 4.320" Properties=species:S:1:pos:R:3 pbc="T T T"
C 4.516 3.682 3.240
C 5.349 1.505 1.080
C 6.692 4.516 1.080
C 7.526 2.339 3.240
Ba 3.010 6.021 2.160
Ba 3.010 3.010 0.000
W 0.000 0.000 0.000
W 6.021 3.010 2.160
```

---

No. 3
Below is an optimized crystal structure of BaW3C, with properties calculated at the PBE level.

Computed properties:
- DOS at the Fermi energy (states/eV/f.u.) = 6.1
- V (Å³/f.u.) = 86.9
- magnetization (μB/atom) = 0.000
- space group = Pm-3m (221)
- ΔH_f (0 K) (eV/f.u.) = 6.4
- polymorph energy (0 for the lowest one) (meV per atom) = 0.0

```
5
Lattice="-1.377 0.095 -4.208 -3.022 -3.104 0.919 -2.930 3.157 1.030" Properties=species:S:1:pos:R:3 pbc="T T T"
Ba -3.665 0.074 -1.129
W -1.465 1.579 0.515
W -0.689 0.048 -2.104
W -1.511 -1.552 0.460
C 0.000 0.000 0.000
```